# NaBiWO5, optimized geometry, DFT PBE with a Hubbard U
# Total magnetization in μB per formula unit: 0.00
# DFT total energy in eV per atom: -6.285
data_NaBiWO5
_chemical_formula_sum 'Na4 Bi4 W4 O20'
_cell_length_a 7.215
_cell_length_b 10.621
_cell_length_c 8.241
_cell_angle_alpha 90.00
_cell_angle_beta 112.66
_cell_angle_gamma 90.00
_space_group_name_H-M_alt 'C 1 2/c 1'
_space_group_IT_number 15
loop_
_space_group_symop_operation_xyz
'x,y,z'
'-x,-y,-z'
'-x,y,-z+1/2'
'x,-y,z+1/2'
'x+1/2,y+1/2,z'
'-x+1/2,-y+1/2,-z'
'-x+1/2,y+1/2,-z+1/2'
'x+1/2,-y+1/2,z+1/2'
loop_
_atom_site_label
_atom_site_type_symbol
_atom_site_fract_x
_atom_site_fract_y
_atom_site_fract_z
Na1 Na 0.000 0.207 0.250
Bi1 Bi 0.000 0.500 0.000
W1 W 0.000 0.196 0.750
O1 O 0.000 0.418 0.250
O2 O 0.138 0.297 0.656
O3 O 0.169 0.097 0.924